1.
Compound: LuIn2Pd
Source: Alexandria
Functional: PBE-GGA
Structure: optimized geometry

Geometry as extended XYZ:
```
4
Lattice="3.399 0.000 0.000 0.000 3.399 0.000 0.000 0.000 7.423" Properties=species:S:1:pos:R:3 pbc="T T T"
Lu 0.000 0.000 0.000
In 1.699 1.699 2.134
In 1.699 1.699 5.288
Pd 0.000 0.000 3.711
```

Summary:
D(E_F) ... 0.580 states/eV per atom

***

2.
Compound: Lu2InPd
Source: Alexandria
Functional: PBE-GGA
Structure: optimized geometry

Geometry as extended XYZ:
```
4
Lattice="1.840 1.063 8.551 -1.840 1.063 8.551 0.000 -2.125 8.551" Properties=species:S:1:pos:R:3 pbc="T T T"
Lu 0.000 0.000 6.099
Lu 0.000 0.000 19.552
In 0.000 0.000 0.000
Pd 0.000 0.000 12.826
```

Summary:
E above lowest polymorph ... 186.8 meV/atom
D(E_F) ... 0.730 states/eV per atom

***

3.
Compound: LuIn2Pd
Source: Alexandria
Functional: PBE-GGA
Structure: optimized geometry

Geometry as extended XYZ:
```
4
Lattice="4.303 0.000 0.000 0.000 4.303 0.000 0.000 0.000 4.665" Properties=species:S:1:pos:R:3 pbc="T T T"
Lu 0.000 0.000 0.000
In 0.000 2.152 2.332
In 2.152 0.000 2.332
Pd 2.152 2.152 0.000
```

Summary:
D(E_F) ... 0.511 states/eV per atom

***

4.
Compound: Lu2InPd2
Source: Alexandria
Functional: PBE-GGA
Structure: optimized geometry

Geometry as extended XYZ:
```
10
Lattice="7.740 0.000 0.000 0.000 7.740 0.000 0.000 0.000 3.531" Properties=species:S:1:pos:R:3 pbc="T T T"
Lu 1.311 2.559 0.000
Lu 2.559 6.429 0.000
Lu 5.180 1.311 0.000
Lu 6.429 5.180 0.000
In 0.000 0.000 1.765
In 3.870 3.870 1.765
Pd 1.001 4.871 1.765
Pd 2.869 1.001 1.765
Pd 4.871 6.739 1.765
Pd 6.739 2.869 1.765
```

Summary:
D(E_F) ... 0.322 states/eV per atom

***

Number 1: energy -4.263 eV per atom. Number 2: energy -4.760 eV per atom. Number 3: energy -4.274 eV per atom. Number 4: energy -5.322 eV per atom.